# 1
Ag2MoOsPd | PBE | optimized geometry

The density is 8.70 g/cm³. The calculation puts the total energy at -5.019 eV per atom.

Cell: 5.037 5.037 4.579 Å, 90.00 90.00 90.00°
Space group P4/mmm (No. 123)
Symmetry-distinct sites (fractional):
Ag 0.000 0.500 0.000 [2 per cell]
Mo 0.000 0.000 0.500 [1 per cell]
Os 0.000 0.000 0.000 [1 per cell]
Pd 0.500 0.500 0.500 [1 per cell]

---

# 2
ReAgMo2Os | PBE | optimized geometry

The density is 10.59 g/cm³. The calculation puts the total energy at -7.839 eV per atom.

Cell: 4.734 4.734 4.731 Å, 90.00 90.00 90.00°
Space group P4/mmm (No. 123)
Symmetry-distinct sites (fractional):
Re 0.000 0.000 0.000 [1 per cell]
Ag 0.500 0.500 0.000 [1 per cell]
Mo 0.000 0.500 0.500 [2 per cell]
Os 0.000 0.000 0.500 [1 per cell]

---

# 3
Ag2MoOsS | PBE | optimized geometry

The density is 7.36 g/cm³. The calculation puts the total energy at -4.772 eV per atom. The uncorrected formation energy is 1606 meV/atom.

Cell: 5.088 5.088 4.656 Å, 90.00 90.00 90.00°
Space group P4/mmm (No. 123)
Symmetry-distinct sites (fractional):
Ag 0.000 0.500 0.000 [2 per cell]
Mo 0.000 0.000 0.500 [1 per cell]
Os 0.000 0.000 0.000 [1 per cell]
S 0.500 0.500 0.500 [1 per cell]

---

# 4
Zn2AgMoOs | PBE | optimized geometry

The density is 7.77 g/cm³. The calculation puts the total energy at -4.109 eV per atom.

Cell: 4.909 4.909 4.657 Å, 90.00 90.00 90.00°
Space group P4/mmm (No. 123)
Symmetry-distinct sites (fractional):
Zn 0.000 0.500 0.000 [2 per cell]
Ag 0.000 0.000 0.500 [1 per cell]
Mo 0.500 0.500 0.000 [1 per cell]
Os 0.500 0.500 0.500 [1 per cell]

---

# 5
Ag2MoP | PBE | optimized geometry

The density is 8.65 g/cm³. The calculation puts the total energy at -5.095 eV per atom.

Cell: 5.142 10.284 2.800 Å, 90.00 117.33 90.00°
Space group C2/m (No. 12)
Symmetry-distinct sites (fractional):
Ag 0.250 0.250 0.000 [4 per cell]
Mo 0.000 0.000 0.500 [2 per cell]
P 0.000 0.500 0.500 [2 per cell]

---

# 6
AgMoP4 | PBE | optimized geometry

The density is 6.04 g/cm³. The calculation puts the total energy at -5.152 eV per atom.

Cell: 7.117 7.117 7.117 Å, 90.00 90.00 90.00°
Space group F-43m (No. 216)
Symmetry-distinct sites (fractional):
Ag 0.000 0.000 0.000 [4 per cell]
Mo 0.250 0.250 0.750 [4 per cell]
P 0.123 0.123 0.377 [16 per cell]

---

Question: Which of these has the highest density?
Answer: ReAgMo2Os

---

Question: density of number 3 (Ag2MoOsS)?
Answer: 7.36 g/cm³